## P
First-principles (PBE) data for YAlIn3 after structural relaxation, as listed in the Alexandria database.

Properties
Size of the total moment: 0.00 μB/atom

a b c (Å): 5.2326 5.2326 5.2326
angles (deg): 90.00 90.00 90.00
With the nearest neighbours (Å) after each atom.
Positions (direct):
Y (0.5000, 0.5000, 0.5000)  12 In 3.70
In (0.0000, 0.5000, 0.0000)  2 Al 2.62
In (0.0000, 0.0000, 0.5000)  2 Al 2.62
In (0.5000, 0.0000, 0.0000)  2 Al 2.62
Al (0.0000, 0.0000, 0.0000)  6 In 2.62

***

## Q
First-principles (PBE) data for YAlIn3 after structural relaxation, as listed in the Alexandria database.

Properties
Size of the total moment: 0.00 μB/atom

a b c (Å): 5.8652 5.8652 5.8652
angles (deg): 90.00 90.00 90.00
With the nearest neighbours (Å) after each atom.
Positions (direct):
In (0.5000, 0.0000, 0.0000)  2 Y 2.93
In (0.0000, 0.0000, 0.5000)  2 Y 2.93
In (0.0000, 0.5000, 0.0000)  2 Y 2.93
Al (0.5000, 0.5000, 0.5000)  12 In 4.15
Y (0.0000, 0.0000, 0.0000)  6 In 2.93

***

Short version: Q is the least stable of them.

***

## P
First-principles (PBE) data for Y4Al2In after structural relaxation, as listed in the Alexandria database.

Properties
Size of the total moment: 0.00 μB/atom

a b c (Å): 5.1325 5.1325 8.8388
angles (deg): 73.12 73.12 60.00
With the nearest neighbours (Å) after each atom.
Positions (direct):
Y (0.1303, 0.1303, 0.6092)  4 Al 3.03-3.20, 1 In 3.25
Y (0.3833, 0.3833, 0.8501)  4 Al 3.07-3.30, 3 In 3.22
Y (0.8697, 0.8697, 0.3908)  4 Al 3.03-3.20, 1 In 3.25
Y (0.6167, 0.6167, 0.1499)  4 Al 3.07-3.30, 3 In 3.22
Al (0.2514, 0.2514, 0.2459)  8 Y 3.03-3.30
Al (0.7486, 0.7486, 0.7541)  8 Y 3.03-3.30
In (0.0000, 0.0000, 0.0000)  8 Y 3.22-3.25

***

## Q
First-principles (PBE) data for Y4Al2In after structural relaxation, as listed in the Alexandria database.

Properties
Size of the total moment: 0.00 μB/atom

a b c (Å): 5.6320 5.6320 8.2600
angles (deg): 70.07 70.07 90.00
With the nearest neighbours (Å) after each atom.
Positions (direct):
Y (0.0000, 0.5000, 0.0000)  2 In 2.82
Y (0.7986, 0.7986, 0.4028)  1 Al 2.90, 1 In 2.91
Y (0.2014, 0.2014, 0.5972)  1 Al 2.90, 1 In 2.91
Y (0.5000, 0.0000, 0.0000)  2 In 2.82
In (0.0000, 0.0000, 0.0000)  6 Y 2.82-2.91
Al (0.5983, 0.5983, 0.8033)  1 Al 2.85, 5 Y 2.90-3.16
Al (0.4017, 0.4017, 0.1967)  1 Al 2.85, 5 Y 2.90-3.16

***

Short version: Q is the least stable of them.

***

## P
First-principles (PBE) data for Y4AlIn after structural relaxation, as listed in the Alexandria database.

Properties
Size of the total moment: 0.00 μB/atom

a b c (Å): 6.2679 6.2679 6.2679
angles (deg): 60.00 60.00 60.00
With the nearest neighbours (Å) after each atom.
Positions (direct):
Y (0.3752, 0.8743, 0.3752)  6 Y 3.13-3.14
Y (0.3752, 0.3752, 0.3752)  6 Y 3.13-3.14
Y (0.8743, 0.3752, 0.3752)  6 Y 3.13-3.14
Y (0.3752, 0.3752, 0.8743)  6 Y 3.13-3.14
In (0.0000, 0.0000, 0.0000)  12 Y 3.68, 4 Al 3.84
Al (0.7500, 0.7500, 0.7500)  12 Y 3.67, 4 In 3.84

***

## Q
First-principles (PBE) data for Y4AlIn after structural relaxation, as listed in the Alexandria database.

Properties
Size of the total moment: 0.00 μB/atom

a b c (Å): 3.7385 8.4748 5.6636
angles (deg): 89.99 90.00 90.00
With the nearest neighbours (Å) after each atom.
Positions (direct):
Al (0.0000, 0.0000, 0.0000)  8 Y 3.07-3.30
In (0.5000, 0.5000, 0.5000)  8 Y 3.17-3.36
Y (0.5000, 0.7134, 0.9998)  2 Al 3.07, 2 In 3.36
Y (0.0000, 0.8015, 0.4998)  2 In 3.17, 2 Al 3.29-3.30, 5 Y 3.36-3.47
Y (0.0000, 0.1985, 0.5002)  2 In 3.17, 2 Al 3.29-3.30, 5 Y 3.36-3.47
Y (0.5000, 0.2866, 0.0002)  2 Al 3.07, 2 In 3.36

***

## R
First-principles (PBE) data for Y4AlIn after structural relaxation, as listed in the Alexandria database.

Properties
Size of the total moment: 0.00 μB/atom

a b c (Å): 5.1239 5.1249 8.9070
angles (deg): 73.28 73.28 60.01
With the nearest neighbours (Å) after each atom.
Positions (direct):
Y (0.6283, 0.6282, 0.1152)  3 Al 3.11, 1 In 3.23
Y (0.3717, 0.3718, 0.8848)  3 Al 3.11, 1 In 3.23
Y (0.1215, 0.1215, 0.6354)  1 Al 3.06, 3 In 3.17
Y (0.8785, 0.8785, 0.3646)  1 Al 3.06, 3 In 3.17
In (0.5000, 0.5000, 0.5000)  8 Y 3.17-3.23
Al (0.0000, 0.0000, 0.0000)  8 Y 3.06-3.11

***

Short version: P is the least stable of them.

***

## P
First-principles (PBE) data for YAl3In after structural relaxation, as listed in the Alexandria database.

Properties
Size of the total moment: 0.00 μB/atom

a b c (Å): 5.1437 5.1437 5.1437
angles (deg): 90.00 90.00 90.00
With the nearest neighbours (Å) after each atom.
Positions (direct):
Al (0.0000, 0.5000, 0.0000)  2 In 2.57
Al (0.0000, 0.0000, 0.5000)  2 In 2.57
Al (0.5000, 0.0000, 0.0000)  2 In 2.57
Y (0.5000, 0.5000, 0.5000)  12 Al 3.64
In (0.0000, 0.0000, 0.0000)  6 Al 2.57

***

## Q
First-principles (PBE) data for YAl3In after structural relaxation, as listed in the Alexandria database.

Properties
Size of the total moment: 0.00 μB/atom

a b c (Å): 5.6164 5.6164 5.6164
angles (deg): 90.00 90.00 90.00
With the nearest neighbours (Å) after each atom.
Positions (direct):
Al (0.5000, 0.0000, 0.0000)  2 Y 2.81
Al (0.0000, 0.5000, 0.0000)  2 Y 2.81
Al (0.0000, 0.0000, 0.5000)  2 Y 2.81
In (0.5000, 0.5000, 0.5000)  12 Al 3.97
Y (0.0000, 0.0000, 0.0000)  6 Al 2.81

***

Short version: Q is the least stable of them.